Record 1
Entry from Alexandria: a geometry-optimized TmZnPdPb structure (PBE).

## Properties
M_tot ... 0.00 μB/cell
Formation enthalpy at 0 K ... -42.71 kJ/mol of atoms

Cell: 6.9128 6.9128 6.9128 Å, 90.00 90.00 90.00°
Space group F-43m (No. 216)
Symmetry-distinct sites (fractional):
Tm 0.0000 0.0000 0.0000 (multiplicity 4)
Zn 0.2500 0.2500 0.2500 (multiplicity 4)
Pd 0.2500 0.2500 0.7500 (multiplicity 4)
Pb 0.0000 0.0000 0.5000 (multiplicity 4)



Record 2
Entry from Alexandria: a geometry-optimized TmZrPdPb structure (PBE).

## Properties
M_tot ... 4.88 μB/cell
Formation enthalpy at 0 K ... -38.43 kJ/mol of atoms

Cell: 7.1282 7.1282 7.1282 Å, 90.00 90.00 90.00°
Space group F-43m (No. 216)
Symmetry-distinct sites (fractional):
Tm 0.0000 0.0000 0.0000 (multiplicity 4)
Zr 0.0000 0.0000 0.5000 (multiplicity 4)
Pd 0.2500 0.2500 0.7500 (multiplicity 4)
Pb 0.2500 0.2500 0.2500 (multiplicity 4)



Record 3
Entry from Alexandria: a geometry-optimized UPd6Pb structure (PBE).

## Properties
M_tot ... 1.68 μB/cell
Formation enthalpy at 0 K ... -40.33 kJ/mol of atoms

Cell: 4.1333 4.1333 8.2404 Å, 90.00 90.00 90.00°
Space group P4/mmm (No. 123)
Symmetry-distinct sites (fractional):
U 0.0000 0.0000 0.0000 (multiplicity 1)
Pd 0.0000 0.5000 0.2416 (multiplicity 4)
Pd 0.5000 0.5000 0.0000 (multiplicity 1)
Pd 0.5000 0.5000 0.5000 (multiplicity 1)
Pb 0.0000 0.0000 0.5000 (multiplicity 1)